Density functional theory data (PBE) for a geometry-optimized Cd3S2I2 structure.

Computed properties:
As for the space group: C2/m (12). Its crystal system is monoclinic. For the energy relative to the elements, uncorrected, the calculation gives -0.49 eV per atom.

```
Cd3S2I2
1.0
7.513 -2.097 0.000
7.513 2.097 0.000
-3.184 0.000 6.578
Cd S I
3 2 2
Cartesian
0.000 0.000 0.000
1.426 0.000 4.772
10.415 0.000 1.806
1.359 0.000 2.039
10.482 0.000 4.539
5.213 0.000 1.298
6.628 0.000 5.279
```



Density functional theory data (PBE) for a geometry-optimized CdSI2 structure.

Computed properties:
As for the space group: I-42d (122). The offset from the most stable computed form comes out at 0 meV/atom. Its crystal system is tetragonal. For the energy relative to the elements, uncorrected, the calculation gives 0.24 eV per atom.

```
CdSI2
1.0
-4.057 4.057 4.356
4.057 -4.057 4.356
4.057 4.057 -4.356
Cd S I
2 2 4
Cartesian
0.000 0.000 0.000
0.000 4.057 2.178
4.057 0.000 2.178
0.000 0.000 4.356
6.086 1.733 -1.089
1.733 2.029 1.089
-2.029 2.324 3.267
2.324 2.029 5.445
```



Density functional theory data (PBE) for a geometry-optimized Cd2SI structure.

Computed properties:
As for the space group: I-42d (122). The offset from the most stable computed form comes out at 0 meV/atom. Its crystal system is tetragonal. For the energy relative to the elements, uncorrected, the calculation gives -0.30 eV per atom.

```
Cd2SI
1.0
-3.291 3.291 6.534
3.291 -3.291 6.534
3.291 3.291 -6.534
Cd S I
4 2 2
Cartesian
4.937 1.184 -1.633
1.184 1.646 1.633
-1.646 2.107 4.900
2.107 1.646 8.167
0.000 0.000 0.000
0.000 3.291 3.267
3.291 0.000 3.267
0.000 0.000 6.534
```



Density functional theory data (PBE) for a geometry-optimized Cd2SI structure.

Computed properties:
As for the space group: Fm-3m (225). The offset from the most stable computed form comes out at 377 meV/atom. Its crystal system is cubic. For the energy relative to the elements, uncorrected, the calculation gives 0.08 eV per atom.

```
Cd2SI
1.0
0.000 3.669 3.669
3.669 0.000 3.669
3.669 3.669 0.000
Cd S I
2 1 1
Cartesian
1.834 1.834 1.834
5.503 5.503 5.503
0.000 0.000 0.000
3.669 3.669 3.669
```



Density functional theory data (PBE) for a geometry-optimized CdSI2 structure.

Computed properties:
As for the space group: Fm-3m (225). The offset from the most stable computed form comes out at 210 meV/atom. Its crystal system is cubic. For the energy relative to the elements, uncorrected, the calculation gives 0.45 eV per atom.

```
CdSI2
1.0
0.000 3.840 3.840
3.840 0.000 3.840
3.840 3.840 0.000
Cd S I
1 1 2
Cartesian
0.000 0.000 0.000
3.840 3.840 3.840
1.920 1.920 1.920
5.759 5.759 5.759
```



Density functional theory data (PBE) for a geometry-optimized CdS4I structure.

Computed properties:
As for the space group: P-1 (2). Its crystal system is triclinic. For the energy relative to the elements, uncorrected, the calculation gives 0.04 eV per atom.

```
CdS4I
1.0
5.941 0.000 0.000
-1.513 7.616 0.000
-0.056 -1.278 7.923
Cd S I
2 8 2
Cartesian
0.497 1.653 3.605
3.876 4.685 4.318
-0.878 5.337 0.771
0.192 -0.037 5.632
0.176 3.733 5.316
1.422 5.258 4.862
2.950 1.080 3.061
4.196 2.605 2.607
4.180 6.374 2.291
5.250 1.001 7.153
1.527 5.643 1.251
2.845 0.695 6.672
```



Density functional theory data (PBE) for a geometry-optimized Cd2SI structure.

Computed properties:
As for the space group: P3_221 (154). The offset from the most stable computed form comes out at 55 meV/atom. Its crystal system is trigonal. For the energy relative to the elements, uncorrected, the calculation gives -0.24 eV per atom.

```
Cd2SI
1.0
4.355 0.000 0.000
-2.178 3.772 0.000
0.000 0.000 24.161
Cd S I
6 3 3
Cartesian
-1.434 2.515 5.224
0.716 1.272 21.331
0.744 1.257 2.829
0.717 3.756 13.278
2.895 0.016 18.936
2.894 2.499 10.883
-1.460 2.528 20.134
0.718 1.243 12.080
2.920 0.000 4.027
-1.447 2.507 8.054
0.730 1.265 0.000
2.894 0.000 16.107
```



Density functional theory data (PBE) for a geometry-optimized CdS8I2 structure.

Computed properties:
As for the space group: C2/m (12). Its crystal system is monoclinic. For the energy relative to the elements, uncorrected, the calculation gives 0.16 eV per atom.

```
CdS8I2
1.0
7.496 -3.133 0.000
7.496 3.133 0.000
-4.701 0.000 7.373
Cd S I
1 8 2
Cartesian
0.000 0.000 0.000
5.545 1.492 1.066
-0.057 0.000 7.183
4.746 1.492 6.307
3.610 0.000 5.241
6.681 0.000 2.132
5.545 -1.492 1.066
10.348 0.000 0.190
4.746 -1.492 6.307
0.020 0.000 2.944
10.271 0.000 4.428
```



Density functional theory data (PBE) for a geometry-optimized CdSb2SI structure.

Computed properties:
As for the space group: P4/mmm (123). The offset from the most stable computed form comes out at 0 meV/atom. Its crystal system is tetragonal. For the energy relative to the elements, uncorrected, the calculation gives 0.51 eV per atom.

```
CdSb2SI
1.0
5.280 0.000 0.000
0.000 5.280 0.000
0.000 0.000 5.641
Cd Sb S I
1 2 1 1
Cartesian
0.000 0.000 0.000
0.000 2.640 2.821
2.640 0.000 2.821
2.640 2.640 2.821
2.640 2.640 0.000
```



Density functional theory data (PBE) for a geometry-optimized CdSbSI2 structure.

Computed properties:
As for the space group: P4/mmm (123). The offset from the most stable computed form comes out at 0 meV/atom. Its crystal system is tetragonal. For the energy relative to the elements, uncorrected, the calculation gives 0.41 eV per atom.

```
CdSbSI2
1.0
5.752 0.000 0.000
0.000 5.752 0.000
0.000 0.000 5.231
Cd Sb S I
1 1 1 2
Cartesian
0.000 0.000 0.000
2.876 2.876 0.000
2.876 2.876 2.616
0.000 2.876 2.616
2.876 0.000 2.616
```



Density functional theory data (PBE) for a geometry-optimized CdSbSI2 structure.

Computed properties:
As for the space group: P4/mmm (123). The offset from the most stable computed form comes out at 304 meV/atom. Its crystal system is tetragonal. For the energy relative to the elements, uncorrected, the calculation gives 0.72 eV per atom.

```
CdSbSI2
1.0
5.610 0.000 0.000
0.000 5.610 0.000
0.000 0.000 5.856
Cd Sb S I
1 1 1 2
Cartesian
0.000 0.000 0.000
0.000 0.000 2.928
2.805 2.805 2.928
0.000 2.805 0.000
2.805 0.000 0.000
```



Density functional theory data (PBE) for a geometry-optimized CdSb2SI structure.

Computed properties:
As for the space group: P4/mmm (123). The offset from the most stable computed form comes out at 375 meV/atom. Its crystal system is tetragonal. For the energy relative to the elements, uncorrected, the calculation gives 0.89 eV per atom.

```
CdSb2SI
1.0
5.608 0.000 0.000
0.000 5.608 0.000
0.000 0.000 5.526
Cd Sb S I
1 2 1 1
Cartesian
0.000 0.000 0.000
0.000 2.804 0.000
2.804 0.000 0.000
2.804 2.804 2.763
0.000 0.000 2.763
```



Density functional theory data (PBE) for a geometry-optimized CdSi2SI structure.

Computed properties:
As for the space group: P4/mmm (123). Its crystal system is tetragonal. For the energy relative to the elements, uncorrected, the calculation gives 1.51 eV per atom.

```
CdSi2SI
1.0
5.395 0.000 0.000
0.000 5.395 0.000
0.000 0.000 5.645
Cd Si S I
1 2 1 1
Cartesian
0.000 0.000 0.000
0.000 2.698 2.822
2.698 0.000 2.822
2.698 2.698 0.000
0.000 0.000 2.822
```



Density functional theory data (PBE) for a geometry-optimized CdTcSI2 structure.

Computed properties:
As for the space group: P4/mmm (123). Its crystal system is tetragonal. For the energy relative to the elements, uncorrected, the calculation gives 0.92 eV per atom.

```
CdTcSI2
1.0
5.901 0.000 0.000
0.000 5.901 0.000
0.000 0.000 4.870
Cd Tc S I
1 1 1 2
Cartesian
0.000 0.000 0.000
2.950 2.950 2.435
0.000 0.000 2.435
0.000 2.950 0.000
2.950 0.000 0.000
```



Density functional theory data (PBE) for a geometry-optimized CdTeSI2 structure.

Computed properties:
As for the space group: P4/mmm (123). The offset from the most stable computed form comes out at 0 meV/atom. Its crystal system is tetragonal. For the energy relative to the elements, uncorrected, the calculation gives 0.35 eV per atom.

```
CdTeSI2
1.0
5.552 0.000 0.000
0.000 5.552 0.000
0.000 0.000 5.427
Cd Te S I
1 1 1 2
Cartesian
0.000 0.000 0.000
2.776 2.776 0.000
2.776 2.776 2.714
0.000 2.776 2.714
2.776 0.000 2.714
```



Density functional theory data (PBE) for a geometry-optimized CdTeSI2 structure.

Computed properties:
As for the space group: P4/mmm (123). The offset from the most stable computed form comes out at 263 meV/atom. Its crystal system is tetragonal. For the energy relative to the elements, uncorrected, the calculation gives 0.62 eV per atom.

```
CdTeSI2
1.0
5.908 0.000 0.000
0.000 5.908 0.000
0.000 0.000 5.783
Cd Te S I
1 1 1 2
Cartesian
0.000 0.000 0.000
0.000 0.000 2.891
2.954 2.954 2.891
0.000 2.954 0.000
2.954 0.000 0.000
```



Density functional theory data (PBE) for a geometry-optimized TlCdSI structure.

Computed properties:
As for the space group: Cm (8). Its crystal system is monoclinic. For the energy relative to the elements, uncorrected, the calculation gives -0.50 eV per atom.

```
TlCdSI
1.0
3.683 -2.126 0.000
3.683 2.126 0.000
-2.449 0.000 8.589
Tl Cd S I
1 1 1 1
Cartesian
0.000 0.000 0.000
4.909 0.000 5.173
-0.001 0.000 6.002
4.910 0.000 2.245
```



Density functional theory data (PBE) for a geometry-optimized VCdS2I structure.

Computed properties:
As for the space group: P4/mmm (123). Its crystal system is tetragonal. For the energy relative to the elements, uncorrected, the calculation gives 1.49 eV per atom.

```
VCdS2I
1.0
5.146 0.000 0.000
0.000 5.146 0.000
0.000 0.000 5.579
V Cd S I
1 1 2 1
Cartesian
0.000 0.000 0.000
2.573 2.573 0.000
0.000 2.573 2.790
2.573 0.000 2.790
2.573 2.573 2.790
```



Density functional theory data (PBE) for a geometry-optimized Cd3SbI structure.

Computed properties:
As for the space group: Pm-3m (221). The offset from the most stable computed form comes out at 40 meV/atom. Its crystal system is cubic. For the energy relative to the elements, uncorrected, the calculation gives 0.00 eV per atom.

```
Cd3SbI
1.0
5.723 0.000 0.000
0.000 5.723 0.000
0.000 0.000 5.723
Cd Sb I
3 1 1
Cartesian
0.000 0.000 2.861
0.000 2.861 0.000
2.861 0.000 0.000
0.000 0.000 0.000
2.861 2.861 2.861
```



Density functional theory data (PBE) for a geometry-optimized CdSb2I8 structure.

Computed properties:
As for the space group: C2/m (12). The offset from the most stable computed form comes out at 0 meV/atom. Its crystal system is monoclinic. For the energy relative to the elements, uncorrected, the calculation gives -0.31 eV per atom.

```
CdSb2I8
1.0
7.838 -4.370 0.000
7.838 4.370 0.000
-0.372 0.000 9.019
Cd Sb I
1 2 8
Cartesian
0.000 0.000 0.000
1.999 0.000 3.205
13.304 0.000 5.814
0.979 0.000 6.500
5.420 2.287 7.747
4.722 0.000 3.814
9.883 2.287 1.272
5.420 -2.287 7.747
10.581 0.000 5.205
9.883 -2.287 1.272
14.324 0.000 2.519
```